(1)
K2VRuO6 | PBE+U | optimized geometry

Unit cell a=5.4979 b=5.4978 c=5.4998 alpha=60.02 beta=60.02 gamma=90.00
Closest atoms and distances in Å follow each position.
Atoms (fractional coordinates):
K: 0.7500 0.2499 0.5000  12 O 2.75
K: 0.2500 0.7501 0.5000  12 O 2.75
V: 0.5000 0.5000 0.0000  6 O 1.92
Ru: 0.0000 0.0000 0.0000  6 O 1.97
O: 0.2531 0.2531 0.4939  1 V 1.92, 1 Ru 1.97
O: 0.7469 0.7468 0.0000  1 V 1.92, 1 Ru 1.97
O: 0.2530 0.7470 0.0000  1 V 1.92, 1 Ru 1.97
O: 0.7470 0.2530 0.0000  1 V 1.92, 1 Ru 1.97
O: 0.2531 0.2532 0.0000  1 V 1.92, 1 Ru 1.97
O: 0.7469 0.7469 0.5061  1 V 1.92, 1 Ru 1.97

Size of the total moment   1.11 μB per cell
Energy   -63.41 eV/cell


(2)
K3V2RuO8 | PBE+U | optimized geometry

Unit cell a=5.7435 b=5.7435 c=7.5149 alpha=90.00 beta=90.00 gamma=120.00
Closest atoms and distances in Å follow each position.
Atoms (fractional coordinates):
K: 0.3333 0.6667 0.6889  7 O 2.61-2.88
K: 0.6667 0.3333 0.3111  7 O 2.61-2.88
K: 0.0000 0.0000 0.0000  12 O 3.06-3.33
V: 0.3333 0.6667 0.2602  4 O 1.69-1.77
V: 0.6667 0.3333 0.7398  4 O 1.69-1.77
Ru: 0.0000 0.0000 0.5000  6 O 2.03
O: 0.3333 0.6667 0.0356  1 V 1.69
O: 0.6667 0.3333 0.9644  1 V 1.69
O: 0.1663 0.8337 0.3429  1 V 1.77
O: 0.8337 0.1663 0.6571  1 V 1.77
O: 0.1663 0.3327 0.3429  1 V 1.77
O: 0.8337 0.6673 0.6571  1 V 1.77
O: 0.6673 0.8337 0.3429  1 V 1.77
O: 0.3327 0.1663 0.6571  1 V 1.77

Size of the total moment   1.03 μB per cell
Energy   -91.71 eV/cell


(3)
K2VRu3O12 | PBE+U | optimized geometry

Unit cell a=7.1572 b=7.1572 c=7.1572 alpha=60.27 beta=60.27 gamma=60.27
Closest atoms and distances in Å follow each position.
Atoms (fractional coordinates):
K: 0.6225 0.6225 0.6225  6 O 3.08-3.20
K: 0.3775 0.3775 0.3775  6 O 3.08-3.20
V: 0.0000 0.0000 0.0000  6 O 1.88
Ru: 0.5000 0.0000 0.0000  6 O 1.92-1.93
Ru: 0.0000 0.5000 0.0000  6 O 1.92-1.93
Ru: 0.0000 0.0000 0.5000  6 O 1.92-1.93
O: 0.3193 0.3193 0.9306  2 Ru 1.93
O: 0.9378 0.9378 0.3090  1 V 1.88, 1 Ru 1.92
O: 0.3090 0.9378 0.9378  1 V 1.88, 1 Ru 1.92
O: 0.9306 0.3193 0.3193  2 Ru 1.93
O: 0.9378 0.3090 0.9378  1 V 1.88, 1 Ru 1.92
O: 0.3193 0.9306 0.3193  2 Ru 1.93
O: 0.6807 0.6807 0.0694  2 Ru 1.93
O: 0.0622 0.0622 0.6910  1 V 1.88, 1 Ru 1.92
O: 0.6910 0.0622 0.0622  1 V 1.88, 1 Ru 1.92
O: 0.0694 0.6807 0.6807  2 Ru 1.93
O: 0.0622 0.6910 0.0622  1 V 1.88, 1 Ru 1.92
O: 0.6807 0.0694 0.6807  2 Ru 1.93

Size of the total moment   4.49 μB per cell
Energy   -118.07 eV/cell


(4)
KV2RuO8 | PBE+U | optimized geometry

Unit cell a=5.6280 b=5.6280 c=7.3688 alpha=90.00 beta=90.00 gamma=120.00
Closest atoms and distances in Å follow each position.
Atoms (fractional coordinates):
K: 0.0000 0.0000 0.5000  12 O 2.97-3.27
V: 0.3333 0.6667 0.7707  4 O 1.65-1.77
V: 0.6667 0.3333 0.2293  4 O 1.65-1.77
Ru: 0.0000 0.0000 0.0000  6 O 1.94
O: 0.1600 0.3200 0.8435  1 V 1.77, 1 Ru 1.94
O: 0.1600 0.8400 0.8435  1 V 1.77, 1 Ru 1.94
O: 0.6800 0.8400 0.8435  1 V 1.77, 1 Ru 1.94
O: 0.3200 0.1600 0.1565  1 V 1.77, 1 Ru 1.94
O: 0.6667 0.3333 0.4533  1 V 1.65
O: 0.3333 0.6667 0.5467  1 V 1.65
O: 0.8400 0.6800 0.1565  1 V 1.77, 1 Ru 1.94
O: 0.8400 0.1600 0.1565  1 V 1.77, 1 Ru 1.94

Size of the total moment   2.98 μB per cell
Energy   -83.78 eV/cell


(5)
K2RuW3O12 | PBE+U | optimized geometry

Unit cell a=7.3176 b=7.3176 c=7.3176 alpha=60.65 beta=60.65 gamma=60.65
Closest atoms and distances in Å follow each position.
Atoms (fractional coordinates):
K: 0.6434 0.6434 0.6434  6 O 3.06-3.38
K: 0.3566 0.3566 0.3566  6 O 3.06-3.38
Ru: 0.0000 0.0000 0.0000  6 O 1.98
W: 0.5000 0.0000 0.0000  6 O 1.91-1.96
W: 0.0000 0.5000 0.0000  6 O 1.91-1.96
W: 0.0000 0.0000 0.5000  6 O 1.91-1.96
O: 0.3133 0.3133 0.9417  2 W 1.96
O: 0.9365 0.9365 0.3179  1 W 1.91, 1 Ru 1.98
O: 0.3179 0.9365 0.9365  1 W 1.91, 1 Ru 1.98
O: 0.9417 0.3133 0.3133  2 W 1.96
O: 0.9365 0.3179 0.9365  1 W 1.91, 1 Ru 1.98
O: 0.3133 0.9417 0.3133  2 W 1.96
O: 0.6867 0.6867 0.0583  2 W 1.96
O: 0.0635 0.0635 0.6821  1 W 1.91, 1 Ru 1.98
O: 0.6821 0.0635 0.0635  1 W 1.91, 1 Ru 1.98
O: 0.0583 0.6867 0.6867  2 W 1.96
O: 0.0635 0.6821 0.0635  1 W 1.91, 1 Ru 1.98
O: 0.6867 0.0583 0.6867  2 W 1.96

Size of the total moment   2.00 μB per cell
Energy   -125.68 eV/cell


(6)
K2RuWO6 | PBE+U | optimized geometry

Unit cell a=3.9402 b=5.6368 c=5.6368 alpha=90.00 beta=90.00 gamma=90.00
Closest atoms and distances in Å follow each position.
Atoms (fractional coordinates):
K: 0.1447 0.5000 0.0000  12 O 2.80-2.82
K: 0.1447 0.0000 0.5000  12 O 2.80-2.82
Ru: 0.6447 0.5000 0.5000  6 O 1.97-2.05
W: 0.6447 0.0000 0.0000  6 O 1.94-1.97
O: 0.6447 0.2433 0.2433  1 W 1.94, 1 Ru 2.05
O: 0.6447 0.2433 0.7567  1 W 1.94, 1 Ru 2.05
O: 0.1447 0.5000 0.5000  2 Ru 1.97
O: 0.1447 0.0000 0.0000  2 W 1.97
O: 0.6447 0.7567 0.7567  1 W 1.94, 1 Ru 2.05
O: 0.6447 0.7567 0.2433  1 W 1.94, 1 Ru 2.05

Size of the total moment   0.68 μB per cell
Energy   -65.01 eV/cell


(7)
KRuWO6 | PBE+U | optimized geometry

Unit cell a=5.2776 b=5.2776 c=6.0145 alpha=90.00 beta=90.00 gamma=60.00
Closest atoms and distances in Å follow each position.
Atoms (fractional coordinates):
K: 0.0000 0.0000 0.0000  6 O 2.79
Ru: 0.6666 0.6667 0.5000  6 O 1.98
W: 0.3333 0.3333 0.5000  6 O 1.96
O: 0.0033 0.3830 0.3183  1 W 1.96, 1 Ru 1.98
O: 0.3830 0.0034 0.6816  1 W 1.96, 1 Ru 1.98
O: 0.6136 0.3831 0.6816  1 W 1.96, 1 Ru 1.98
O: 0.0033 0.6136 0.6816  1 W 1.96, 1 Ru 1.98
O: 0.3830 0.6136 0.3183  1 W 1.96, 1 Ru 1.98
O: 0.6136 0.0034 0.3183  1 W 1.96, 1 Ru 1.98

Size of the total moment   3.02 μB per cell
Energy   -61.17 eV/cell